# 1
A plane-wave DFT calculation with GGA-PBE was carried out for KSr5 after structural relaxation.

```
KSr5
1.0
7.075 0.000 0.000
0.000 2.148 11.281
0.000 -2.148 11.281
K Sr
1 5
Direct
0.000 0.000 0.000
0.000 0.331 0.331
0.000 0.670 0.670
0.500 0.223 0.223
0.500 0.559 0.559
0.500 0.887 0.887
```

Output
V (A^3/atom): 57.1
Energy (eV/atom): -1.535
M_tot (μB/cell): 0.01
Calculated formation energy (eV per atom): 0.050
Energy relative to the lowest polymorph listed for this composition (meV per atom): 14

# 2
A plane-wave DFT calculation with GGA-PBE was carried out for K2Sr17 after structural relaxation.

```
K2Sr17
1.0
6.988 4.035 6.959
-6.988 4.035 6.959
0.000 -8.070 6.959
K Sr
2 17
Direct
0.172 0.172 0.172
0.828 0.828 0.828
0.000 0.500 0.500
0.155 0.155 0.652
0.155 0.652 0.155
0.201 0.500 0.799
0.201 0.799 0.500
0.348 0.845 0.845
0.404 0.404 0.404
0.500 0.000 0.500
0.500 0.201 0.799
0.500 0.500 0.000
0.500 0.799 0.201
0.596 0.596 0.596
0.652 0.155 0.155
0.799 0.201 0.500
0.799 0.500 0.201
0.845 0.348 0.845
0.845 0.845 0.348
```

Output
V (A^3/atom): 62.0
Energy (eV/atom): -1.508
M_tot (μB/cell): 0.00
Calculated formation energy (eV per atom): 0.112

# 3
A plane-wave DFT calculation with GGA-PBE was carried out for K5Sr after structural relaxation.

```
K5Sr
1.0
8.532 -2.240 0.000
8.532 2.240 0.000
-2.836 0.000 10.788
K Sr
5 1
Direct
0.000 0.000 0.000
0.062 0.062 0.613
0.336 0.336 0.656
0.669 0.669 0.325
0.733 0.733 0.957
0.397 0.397 0.285
```

Output
V (A^3/atom): 68.7
Energy (eV/atom): -1.134
M_tot (μB/cell): 0.00
Calculated formation energy (eV per atom): 0.060
Energy relative to the lowest polymorph listed for this composition (meV per atom): 12

# 4
A plane-wave DFT calculation with GGA-PBE was carried out for K7Sr6 after structural relaxation.

```
K7Sr6
1.0
3.953 2.282 14.707
-3.953 2.282 14.707
0.000 -4.565 14.707
K Sr
7 6
Direct
0.000 0.000 0.000
0.093 0.093 0.584
0.093 0.584 0.093
0.416 0.907 0.907
0.584 0.093 0.093
0.907 0.416 0.907
0.907 0.907 0.416
0.166 0.166 0.166
0.351 0.351 0.351
0.456 0.456 0.456
0.544 0.544 0.544
0.649 0.649 0.649
0.834 0.834 0.834
```

Output
V (A^3/atom): 61.2
Energy (eV/atom): -1.228
M_tot (μB/cell): 0.00
Calculated formation energy (eV per atom): 0.140